Record 1
This record from Alexandria describes CsKRbHg after structural relaxation. The functional is PBE.

Cell: 10.3583 6.0144 9.6434 Å, 90.00 110.93 90.00°
Last column: nearest neighbours and their distance in Å.
Space group Cm (No. 8)
One atom of each set of equivalent atoms:
1 Cs 0.0000 0.0000 0.0000 x2  3 Hg 4.13-4.15, 3 K 4.48-4.50
2 K 0.2275 0.0000 0.6822 x2  3 Hg 3.51
3 Rb 0.2989 0.5000 0.4016 x2  3 K 4.28-4.30, 3 Hg 4.62-4.67
4 Hg 0.0829 0.5000 0.7464 x2  3 K 3.51

## Properties
ΔH_f (0 K): -70.4 meV/atom
uncorrected energy: -0.88 eV per atom
polymorph energy (0 for the lowest one): 0 meV/atom



Record 2
This record from Alexandria describes NaSiP2Cl after structural relaxation. The functional is PBE.

Cell: 4.3957 4.3957 6.2449 Å, 90.00 90.00 90.00°
Last column: nearest neighbours and their distance in Å.
Space group P4/mmm (No. 123)
One atom of each set of equivalent atoms:
1 Na 0.0000 0.0000 0.0000 x1  4 Cl 3.11
2 Si 0.5000 0.5000 0.5000 x1  4 P 2.20
3 P 0.0000 0.5000 0.5000 x2  2 Si 2.20
4 Cl 0.5000 0.5000 0.0000 x1  4 Na 3.11, 2 Si 3.12

## Properties
raw formation energy: 13 kJ/mol of formula units
uncorrected energy: -3.86 eV per atom
polymorph energy (0 for the lowest one): 0 meV/atom



> Which value of polymorph energy (0 for the lowest one) does entry 2 give?

0 meV/atom